## Rb2MgPtI6 (PBE)

Data for a geometry-optimized Rb2MgPtI6 structure.

Cell: 8.192 8.192 11.593 Å, 90.00 90.00 90.00°
Space group I4/mmm (No. 139)
Unique sites:
Rb  0.000  0.500  0.250
Mg  0.000  0.000  0.000
Pt  0.000  0.000  0.500
I  0.000  0.000  0.263
I  0.246  0.246  0.500

V (Å³/cell): 778.0
E_form (uncorrected) (kcal/mol of atoms): -18.44